Ta4Nb5Au after structural relaxation. Source: the Alexandria database, functional PBE-GGA.

Output
total moment	0.000	μB per atom
ΔH_f (0 K)	-28	kJ/mol of formula units

```
data_Ta4Nb5Au
_cell_length_a 3.345
_cell_length_b 3.345
_cell_length_c 16.284
_cell_angle_alpha 90.00
_cell_angle_beta 90.00
_cell_angle_gamma 90.00
_space_group_name_H-M_alt 'P 1'
_space_group_IT_number 1
_space_group_name_Hall 'P 1'
loop_
_atom_site_label
_atom_site_fract_x
_atom_site_fract_y
_atom_site_fract_z
Nb1 0.500 0.500 0.103
Nb2 0.500 0.500 0.703
Nb3 0.500 0.500 0.897
Nb4 0.500 0.500 0.500
Nb5 0.500 0.500 0.297
Ta1 0.000 0.000 0.400
Ta2 0.000 0.000 0.600
Ta3 0.000 0.000 0.198
Ta4 0.000 0.000 0.802
Au1 0.000 0.000 0.000
```

=====

K2SrTcO4 after structural relaxation. Source: the Alexandria database, functional PBE-GGA.

Output
ΔE_f (raw)	-1.701	eV per atom
total moment	0.126	μB per atom

```
data_K2SrTcO4
_cell_length_a 5.800
_cell_length_b 5.800
_cell_length_c 5.800
_cell_angle_alpha 99.39
_cell_angle_beta 114.73
_cell_angle_gamma 114.73
_space_group_name_H-M_alt 'P 1'
_space_group_IT_number 1
_space_group_name_Hall 'P 1'
loop_
_atom_site_label
_atom_site_fract_x
_atom_site_fract_y
_atom_site_fract_z
O1 0.935 0.625 0.209
O2 0.585 0.311 0.375
O3 0.415 0.791 0.726
O4 0.065 0.274 0.689
K1 0.500 0.750 0.250
K2 0.000 0.000 0.000
Tc1 0.000 0.500 0.500
Sr1 0.500 0.250 0.750
```